(1)
VASP calculation (GGA-PBE) on a relaxed CsNi2PN crystal.

Computed properties:
N(E_F): 7.2 states/eV/f.u.
formation energy (no corrections): 5.10 eV/f.u.

Cell: 3.873 3.873 6.192 Å, 90.00 90.00 90.00°
Space group P4/mmm (No. 123)
Asymmetric unit:
Cs1 0.000 0.000 0.000 (multiplicity 1)
Ni1 0.000 0.500 0.500 (multiplicity 2)
P1 0.500 0.500 0.000 (multiplicity 1)
N1 0.500 0.500 0.500 (multiplicity 1)


(2)
VASP calculation (GGA-PBE) on a relaxed CsNiPb2N crystal.

Computed properties:
N(E_F): 4.8 states/eV/f.u.
formation energy (no corrections): 12.91 eV/f.u.

Cell: 6.338 6.338 4.759 Å, 90.00 90.00 90.00°
Space group P4/mmm (No. 123)
Asymmetric unit:
Cs1 0.000 0.000 0.000 (multiplicity 1)
Ni1 0.000 0.000 0.500 (multiplicity 1)
Pb1 0.000 0.500 0.000 (multiplicity 2)
N1 0.500 0.500 0.500 (multiplicity 1)


(3)
VASP calculation (GGA-PBE) on a relaxed CsNiS2N crystal.

Computed properties:
ΔE to the lowest computed polymorph: 1867.8 meV/atom
N(E_F): 10.9 states/eV/f.u.
formation energy (no corrections): 11.87 eV/f.u.

Cell: 5.458 5.458 4.325 Å, 90.00 90.00 90.00°
Space group P4/mmm (No. 123)
Asymmetric unit:
Cs1 0.000 0.000 0.000 (multiplicity 1)
Ni1 0.500 0.500 0.500 (multiplicity 1)
S1 0.000 0.500 0.000 (multiplicity 2)
N1 0.000 0.000 0.500 (multiplicity 1)


(4)
VASP calculation (GGA-PBE) on a relaxed CsNiS2N crystal.

Computed properties:
ΔE to the lowest computed polymorph: 0.0 meV/atom
N(E_F): 4.4 states/eV/f.u.
formation energy (no corrections): 2.53 eV/f.u.

Cell: 5.449 5.449 3.467 Å, 90.00 90.00 90.00°
Space group P4/mmm (No. 123)
Asymmetric unit:
Cs1 0.000 0.000 0.000 (multiplicity 1)
Ni1 0.500 0.500 0.500 (multiplicity 1)
S1 0.000 0.500 0.500 (multiplicity 2)
N1 0.500 0.500 0.000 (multiplicity 1)


(5)
VASP calculation (GGA-PBE) on a relaxed CsNi2SbN crystal.

Computed properties:
N(E_F): 2.5 states/eV/f.u.
formation energy (no corrections): 13.80 eV/f.u.

Cell: 4.732 4.732 7.172 Å, 90.00 90.00 90.00°
Space group P4/mmm (No. 123)
Asymmetric unit:
Cs1 0.000 0.000 0.000 (multiplicity 1)
Ni1 0.000 0.500 0.000 (multiplicity 2)
Sb1 0.000 0.000 0.500 (multiplicity 1)
N1 0.500 0.500 0.500 (multiplicity 1)


(6)
VASP calculation (GGA-PBE) on a relaxed CsNiSeN2 crystal.

Computed properties:
N(E_F): 8.7 states/eV/f.u.
formation energy (no corrections): 13.27 eV/f.u.

Cell: 4.329 4.329 7.099 Å, 90.00 90.00 90.00°
Space group P4/mmm (No. 123)
Asymmetric unit:
Cs1 0.000 0.000 0.000 (multiplicity 1)
Ni1 0.500 0.500 0.500 (multiplicity 1)
Se1 0.000 0.000 0.500 (multiplicity 1)
N1 0.000 0.500 0.000 (multiplicity 2)